Entry 1:
The following is a PBE calculation of crystalline NaBi2I6 at its relaxed geometry, from Alexandria.

abc: 7.705 7.705 13.847
angles: 90.00 90.00 90.00
Sites, in units of the cell vectors:
Na1 0.000 0.000 0.000
Na2 0.500 0.500 0.500
Bi1 0.000 0.000 0.330
Bi2 0.000 0.000 0.670
Bi3 0.500 0.500 0.170
Bi4 0.500 0.500 0.830
I1 0.196 0.196 0.500
I2 0.199 0.199 0.172
I3 0.199 0.199 0.828
I4 0.301 0.699 0.328
I5 0.301 0.699 0.672
I6 0.304 0.696 0.000
I7 0.696 0.304 0.000
I8 0.699 0.301 0.328
I9 0.699 0.301 0.672
I10 0.801 0.801 0.172
I11 0.801 0.801 0.828
I12 0.804 0.804 0.500

Its space-group type is P4_2/mnm (136). As for the energy relative to the elements, uncorrected: -0.505 eV/atom. As for the calculated total energy: -2.5476 eV/atom. Its total magnetic moment is 0.0 μB per formula unit.

Entry 2:
The following is a PBE calculation of crystalline Dy8Er3Sc2 at its relaxed geometry, from Alexandria.

abc: 8.624 8.624 6.632
angles: 106.23 106.23 63.22
Sites, in units of the cell vectors:
Dy1 0.061 0.698 0.308
Dy2 0.091 0.091 0.220
Dy3 0.302 0.939 0.692
Dy4 0.310 0.310 0.607
Dy5 0.690 0.690 0.393
Dy6 0.698 0.061 0.308
Dy7 0.909 0.909 0.780
Dy8 0.939 0.302 0.692
Er1 0.330 0.670 0.000
Er2 0.500 0.500 0.500
Er3 0.670 0.330 0.000
Sc1 0.299 0.299 0.079
Sc2 0.701 0.701 0.921

Its space-group type is C2/m (12). As for the calculated total energy: -4.6296 eV/atom. Its total magnetic moment is 0.0 μB per formula unit. The calculation puts the formation enthalpy at 0 K at 0.23 eV per atom.

Entry 3:
The following is a PBE calculation of crystalline ReIr2Os at its relaxed geometry, from Alexandria.

abc: 3.313 3.313 5.464
angles: 90.00 90.00 90.00
Sites, in units of the cell vectors:
Re1 0.000 0.000 0.000
Ir1 0.000 0.000 0.499
Ir2 0.500 0.500 0.253
Os1 0.500 0.500 0.746

Its space-group type is P4mm (99). As for the calculated total energy: -9.9495 eV/atom. Its total magnetic moment is 0.2 μB per formula unit. The calculation puts the formation enthalpy at 0 K at 0.40 eV per atom.

Entry 4:
The following is a PBE calculation of crystalline TlH2Au at its relaxed geometry, from Alexandria.

abc: 3.245 3.245 18.915
angles: 90.00 90.00 120.00
Sites, in units of the cell vectors:
Tl1 0.000 0.000 0.000
Tl2 0.333 0.667 0.667
Tl3 0.667 0.333 0.333
H1 0.000 0.000 0.208
H2 0.000 0.000 0.792
H3 0.333 0.667 0.459
H4 0.333 0.667 0.875
H5 0.667 0.333 0.125
H6 0.667 0.333 0.541
Au1 0.000 0.000 0.500
Au2 0.333 0.667 0.167
Au3 0.667 0.333 0.833

Its space-group type is R-3m (166). As for the calculated total energy: -2.6764 eV/atom. Its total magnetic moment is 0.0 μB per formula unit.

Entry 5:
The following is a PBE calculation of crystalline FeSbSe2 at its relaxed geometry, from Alexandria.

abc: 3.650 3.650 23.666
angles: 90.00 90.00 120.00
Sites, in units of the cell vectors:
Fe1 0.000 0.000 0.000
Fe2 0.333 0.667 0.667
Fe3 0.667 0.333 0.333
Sb1 0.000 0.000 0.256
Sb2 0.333 0.667 0.922
Sb3 0.667 0.333 0.589
Se1 0.000 0.000 0.512
Se2 0.000 0.000 0.714
Se3 0.333 0.667 0.179
Se4 0.333 0.667 0.381
Se5 0.667 0.333 0.047
Se6 0.667 0.333 0.846

Its space-group type is R3m (160). As for the energy relative to the elements, uncorrected: -0.001 eV/atom. As for the calculated total energy: -4.8893 eV/atom. Its total magnetic moment is 2.4 μB per formula unit.

Entry 6:
The following is a PBE calculation of crystalline ZrBe4Pt at its relaxed geometry, from Alexandria.

abc: 4.608 4.608 4.608
angles: 60.00 60.00 60.00
Sites, in units of the cell vectors:
Zr1 0.000 0.000 0.000
Be1 0.118 0.627 0.627
Be2 0.627 0.118 0.627
Be3 0.627 0.627 0.118
Be4 0.627 0.627 0.627
Pt1 0.250 0.250 0.250

Its space-group type is F-43m (216). As for the calculated total energy: -5.2380 eV/atom. Its total magnetic moment is 0.7 μB per formula unit. The calculation puts the formation enthalpy at 0 K at -0.32 eV per atom.

Entry 7:
The following is a PBE calculation of crystalline Pr2CdI at its relaxed geometry, from Alexandria.

abc: 3.989 3.989 28.666
angles: 90.00 90.00 120.00
Sites, in units of the cell vectors:
Pr1 0.000 0.000 0.000
Pr2 0.000 0.000 0.161
Pr3 0.333 0.667 0.667
Pr4 0.333 0.667 0.828
Pr5 0.667 0.333 0.333
Pr6 0.667 0.333 0.494
Cd1 0.000 0.000 0.414
Cd2 0.333 0.667 0.081
Cd3 0.667 0.333 0.747
I1 0.000 0.000 0.581
I2 0.333 0.667 0.247
I3 0.667 0.333 0.914

Its space-group type is R3m (160). As for the energy relative to the elements, uncorrected: -0.479 eV/atom. As for the calculated total energy: -3.4848 eV/atom. Its total magnetic moment is 0.0 μB per formula unit.

Entry 8:
The following is a PBE calculation of crystalline BaAgTe2 at its relaxed geometry, from Alexandria.

abc: 4.567 6.635 8.896
angles: 90.00 90.00 90.00
Sites, in units of the cell vectors:
Ba1 0.000 0.000 0.000
Ba2 0.500 0.500 0.500
Ag1 0.000 0.000 0.500
Ag2 0.500 0.500 0.000
Te1 0.000 0.500 0.197
Te2 0.000 0.500 0.803
Te3 0.500 0.000 0.303
Te4 0.500 0.000 0.697

Its space-group type is Immm (71). As for the energy relative to the elements, uncorrected: -0.710 eV/atom. As for the calculated total energy: -3.4744 eV/atom. Its total magnetic moment is 0.0 μB per formula unit.

> total magnetic moment of number 4 (TlH2Au)?

0.0 μB per formula unit

> The highest total magnetic moment belongs to which entry?

FeSbSe2